(1)
# NbTc2Sn, optimized geometry, DFT PBE
# SG: No. 123
# ΔH_f (0 K): -0.49 eV per formula unit
data_NbTc2Sn
_cell_length_a 4.486
_cell_length_b 4.486
_cell_length_c 3.312
_cell_angle_alpha 90.00
_cell_angle_beta 90.00
_cell_angle_gamma 90.00
_space_group_name_H-M_alt 'P 1'
_space_group_IT_number 1
_space_group_name_Hall 'P 1'
loop_
_atom_site_label
_atom_site_type_symbol
_atom_site_fract_x
_atom_site_fract_y
_atom_site_fract_z
_atom_site_occupancy
Nb1 Nb 0.000 0.000 0.000 1
Tc1 Tc 0.000 0.500 0.500 1
Tc2 Tc 0.500 0.000 0.500 1
Sn1 Sn 0.500 0.500 0.000 1



(2)
# Tb2PmSiN4, optimized geometry, DFT PBE
# SG: No. 63
# Formation energy (no corrections): -10.47 eV per formula unit
data_Tb2PmSiN4
_cell_length_a 6.015
_cell_length_b 6.015
_cell_length_c 11.628
_cell_angle_alpha 90.00
_cell_angle_beta 90.00
_cell_angle_gamma 147.20
_space_group_name_H-M_alt 'P 1'
_space_group_IT_number 1
_space_group_name_Hall 'P 1'
loop_
_atom_site_label
_atom_site_type_symbol
_atom_site_fract_x
_atom_site_fract_y
_atom_site_fract_z
_atom_site_occupancy
Tb1 Tb 0.132 0.868 0.542 1
Tb2 Tb 0.132 0.868 0.958 1
Tb3 Tb 0.868 0.132 0.042 1
Tb4 Tb 0.868 0.132 0.458 1
Pm1 Pm 0.411 0.589 0.750 1
Pm2 Pm 0.589 0.411 0.250 1
Si1 Si 0.323 0.677 0.250 1
Si2 Si 0.677 0.323 0.750 1
N1 N 0.094 0.906 0.750 1
N2 N 0.232 0.768 0.131 1
N3 N 0.232 0.768 0.369 1
N4 N 0.500 0.500 0.000 1
N5 N 0.500 0.500 0.500 1
N6 N 0.768 0.232 0.631 1
N7 N 0.768 0.232 0.869 1
N8 N 0.906 0.094 0.250 1



(3)
# Tm5HfIn4, optimized geometry, DFT PBE
# SG: No. 123
# ΔH_f (0 K): -3.27 eV per formula unit
data_Tm5HfIn4
_cell_length_a 3.436
_cell_length_b 3.436
_cell_length_c 21.724
_cell_angle_alpha 90.00
_cell_angle_beta 90.00
_cell_angle_gamma 90.00
_space_group_name_H-M_alt 'P 1'
_space_group_IT_number 1
_space_group_name_Hall 'P 1'
loop_
_atom_site_label
_atom_site_type_symbol
_atom_site_fract_x
_atom_site_fract_y
_atom_site_fract_z
_atom_site_occupancy
Tm1 Tm 0.000 0.000 0.000 1
Tm2 Tm 0.000 0.000 0.199 1
Tm3 Tm 0.000 0.000 0.398 1
Tm4 Tm 0.000 0.000 0.602 1
Tm5 Tm 0.000 0.000 0.801 1
Hf1 Hf 0.500 0.500 0.500 1
In1 In 0.500 0.500 0.099 1
In2 In 0.500 0.500 0.297 1
In3 In 0.500 0.500 0.703 1
In4 In 0.500 0.500 0.901 1



(4)
# YTaB, optimized geometry, DFT PBE
# SG: No. 38
# ΔH_f (0 K): 0.20 eV per formula unit
data_YTaB
_cell_length_a 3.856
_cell_length_b 6.799
_cell_length_c 6.799
_cell_angle_alpha 119.74
_cell_angle_beta 90.00
_cell_angle_gamma 90.00
_space_group_name_H-M_alt 'P 1'
_space_group_IT_number 1
_space_group_name_Hall 'P 1'
loop_
_atom_site_label
_atom_site_type_symbol
_atom_site_fract_x
_atom_site_fract_y
_atom_site_fract_z
_atom_site_occupancy
Y1 Y 0.000 0.000 0.000 1
Y2 Y 0.000 0.414 0.825 1
Y3 Y 0.000 0.825 0.414 1
Ta1 Ta 0.500 0.177 0.413 1
Ta2 Ta 0.500 0.413 0.177 1
Ta3 Ta 0.500 0.645 0.645 1
B1 B 0.000 0.410 0.410 1
B2 B 0.500 0.082 0.747 1
B3 B 0.500 0.747 0.082 1



(5)
# Ce3Pb, optimized geometry, DFT PBE
# SG: No. 139
# ΔH_f (0 K): -0.93 eV per formula unit
data_Ce3Pb
_cell_length_a 4.777
_cell_length_b 4.777
_cell_length_c 9.857
_cell_angle_alpha 90.00
_cell_angle_beta 90.00
_cell_angle_gamma 90.00
_space_group_name_H-M_alt 'P 1'
_space_group_IT_number 1
_space_group_name_Hall 'P 1'
loop_
_atom_site_label
_atom_site_type_symbol
_atom_site_fract_x
_atom_site_fract_y
_atom_site_fract_z
_atom_site_occupancy
Ce1 Ce 0.000 0.000 0.000 1
Ce2 Ce 0.000 0.500 0.250 1
Ce3 Ce 0.000 0.500 0.750 1
Ce4 Ce 0.500 0.000 0.250 1
Ce5 Ce 0.500 0.000 0.750 1
Ce6 Ce 0.500 0.500 0.500 1
Pb1 Pb 0.000 0.000 0.500 1
Pb2 Pb 0.500 0.500 0.000 1



(6)
# SrNdHg, optimized geometry, DFT PBE
# Relative energy among the computed polymorphs: 0.16 eV per formula unit
# SG: No. 107
# ΔH_f (0 K): -0.86 eV per formula unit
data_SrNdHg
_cell_length_a 3.911
_cell_length_b 3.911
_cell_length_c 13.818
_cell_angle_alpha 90.00
_cell_angle_beta 90.00
_cell_angle_gamma 90.00
_space_group_name_H-M_alt 'P 1'
_space_group_IT_number 1
_space_group_name_Hall 'P 1'
loop_
_atom_site_label
_atom_site_type_symbol
_atom_site_fract_x
_atom_site_fract_y
_atom_site_fract_z
_atom_site_occupancy
Sr1 Sr 0.000 0.000 0.000 1
Sr2 Sr 0.500 0.500 0.500 1
Nd1 Nd 0.000 0.000 0.277 1
Nd2 Nd 0.500 0.500 0.777 1
Hg1 Hg 0.000 0.000 0.657 1
Hg2 Hg 0.500 0.500 0.157 1



(7)
# MnTl3Br5, optimized geometry, DFT PBE
# SG: No. 140
# Formation energy (no corrections): -7.45 eV per formula unit
data_MnTl3Br5
_cell_length_a 10.038
_cell_length_b 10.038
_cell_length_c 10.038
_cell_angle_alpha 128.05
_cell_angle_beta 128.05
_cell_angle_gamma 76.54
_space_group_name_H-M_alt 'P 1'
_space_group_IT_number 1
_space_group_name_Hall 'P 1'
loop_
_atom_site_label
_atom_site_type_symbol
_atom_site_fract_x
_atom_site_fract_y
_atom_site_fract_z
_atom_site_occupancy
Mn1 Mn 0.250 0.750 0.500 1
Mn2 Mn 0.750 0.250 0.500 1
Tl1 Tl 0.158 0.658 0.815 1
Tl2 Tl 0.250 0.250 0.000 1
Tl3 Tl 0.342 0.158 0.500 1
Tl4 Tl 0.658 0.842 0.500 1
Tl5 Tl 0.750 0.750 0.000 1
Tl6 Tl 0.842 0.342 0.185 1
Br1 Br 0.000 0.000 0.000 1
Br2 Br 0.005 0.191 0.500 1
Br3 Br 0.191 0.691 0.186 1
Br4 Br 0.309 0.495 0.500 1
Br5 Br 0.495 0.995 0.186 1
Br6 Br 0.500 0.500 0.000 1
Br7 Br 0.505 0.005 0.814 1
Br8 Br 0.691 0.505 0.500 1
Br9 Br 0.809 0.309 0.814 1
Br10 Br 0.995 0.809 0.500 1



(8)
# PaZn2F8, optimized geometry, DFT PBE
# SG: No. 12
# Formation energy (no corrections): -31.56 eV per formula unit
data_PaZn2F8
_cell_length_a 5.938
_cell_length_b 5.938
_cell_length_c 5.224
_cell_angle_alpha 102.72
_cell_angle_beta 102.72
_cell_angle_gamma 53.51
_space_group_name_H-M_alt 'P 1'
_space_group_IT_number 1
_space_group_name_Hall 'P 1'
loop_
_atom_site_label
_atom_site_type_symbol
_atom_site_fract_x
_atom_site_fract_y
_atom_site_fract_z
_atom_site_occupancy
Pa1 Pa 0.000 0.000 0.000 1
Zn1 Zn 0.340 0.340 0.470 1
Zn2 Zn 0.660 0.660 0.530 1
F1 F 0.056 0.594 0.737 1
F2 F 0.104 0.104 0.706 1
F3 F 0.406 0.944 0.263 1
F4 F 0.457 0.457 0.236 1
F5 F 0.543 0.543 0.764 1
F6 F 0.594 0.056 0.737 1
F7 F 0.896 0.896 0.294 1
F8 F 0.944 0.406 0.263 1



(9)
# CsH4Os, optimized geometry, DFT PBE
# SG: No. 12
# Total DFT energy (no corrections): -4.291 eV/atom
data_CsH4Os
_cell_length_a 7.344
_cell_length_b 7.344
_cell_length_c 4.709
_cell_angle_alpha 107.42
_cell_angle_beta 107.42
_cell_angle_gamma 52.72
_space_group_name_H-M_alt 'P 1'
_space_group_IT_number 1
_space_group_name_Hall 'P 1'
loop_
_atom_site_label
_atom_site_type_symbol
_atom_site_fract_x
_atom_site_fract_y
_atom_site_fract_z
_atom_site_occupancy
Cs1 Cs 0.171 0.171 0.084 1
Cs2 Cs 0.829 0.829 0.916 1
H1 H 0.224 0.572 0.446 1
H2 H 0.305 0.695 0.000 1
H3 H 0.335 0.335 0.721 1
H4 H 0.428 0.776 0.554 1
H5 H 0.572 0.224 0.446 1
H6 H 0.665 0.665 0.279 1
H7 H 0.695 0.305 0.000 1
H8 H 0.776 0.428 0.554 1
Os1 Os 0.459 0.459 0.708 1
Os2 Os 0.541 0.541 0.292 1



(10)
# TiNb2HRh, optimized geometry, DFT PBE
# Relative energy among the computed polymorphs: 0.00 eV per formula unit
# SG: No. 123
data_TiNb2HRh
_cell_length_a 4.085
_cell_length_b 4.085
_cell_length_c 4.163
_cell_angle_alpha 90.00
_cell_angle_beta 90.00
_cell_angle_gamma 90.00
_space_group_name_H-M_alt 'P 1'
_space_group_IT_number 1
_space_group_name_Hall 'P 1'
loop_
_atom_site_label
_atom_site_type_symbol
_atom_site_fract_x
_atom_site_fract_y
_atom_site_fract_z
_atom_site_occupancy
Ti1 Ti 0.000 0.000 0.000 1
Nb1 Nb 0.000 0.500 0.500 1
Nb2 Nb 0.500 0.000 0.500 1
H1 H 0.000 0.000 0.500 1
Rh1 Rh 0.500 0.500 0.000 1



(11)
# Sn2Ge2Cl, optimized geometry, DFT PBE
# Relative energy among the computed polymorphs: 0.70 eV per formula unit
# SG: No. 127
# Formation energy (no corrections): 0.15 eV per formula unit
data_Sn2Ge2Cl
_cell_length_a 8.295
_cell_length_b 8.295
_cell_length_c 3.556
_cell_angle_alpha 90.00
_cell_angle_beta 90.00
_cell_angle_gamma 90.00
_space_group_name_H-M_alt 'P 1'
_space_group_IT_number 1
_space_group_name_Hall 'P 1'
loop_
_atom_site_label
_atom_site_type_symbol
_atom_site_fract_x
_atom_site_fract_y
_atom_site_fract_z
_atom_site_occupancy
Sn1 Sn 0.174 0.326 0.000 1
Sn2 Sn 0.326 0.826 0.000 1
Sn3 Sn 0.674 0.174 0.000 1
Sn4 Sn 0.826 0.674 0.000 1
Ge1 Ge 0.120 0.620 0.500 1
Ge2 Ge 0.380 0.120 0.500 1
Ge3 Ge 0.620 0.880 0.500 1
Ge4 Ge 0.880 0.380 0.500 1
Cl1 Cl 0.000 0.000 0.000 1
Cl2 Cl 0.500 0.500 0.000 1



(12)
# LiCa2AlIr, optimized geometry, DFT PBE
# SG: No. 123
# ΔH_f (0 K): -1.10 eV per formula unit
data_LiCa2AlIr
_cell_length_a 5.517
_cell_length_b 5.517
_cell_length_c 4.809
_cell_angle_alpha 90.00
_cell_angle_beta 90.00
_cell_angle_gamma 90.00
_space_group_name_H-M_alt 'P 1'
_space_group_IT_number 1
_space_group_name_Hall 'P 1'
loop_
_atom_site_label
_atom_site_type_symbol
_atom_site_fract_x
_atom_site_fract_y
_atom_site_fract_z
_atom_site_occupancy
Li1 Li 0.000 0.000 0.000 1
Ca1 Ca 0.000 0.500 0.500 1
Ca2 Ca 0.500 0.000 0.500 1
Al1 Al 0.500 0.500 0.000 1
Ir1 Ir 0.500 0.500 0.500 1



Number 1: total moment 0.0 μB per cell. Number 2: total moment 0.0 μB per cell. Number 3: total moment 0.4 μB per cell. Number 4: total moment 0.0 μB per cell. Number 5: total moment 5.4 μB per cell. Number 6: total moment 0.4 μB per cell. Number 7: total moment 10.0 μB per cell. Number 8: total moment 1.0 μB per cell. Number 9: total moment 0.3 μB per cell. Number 10: total moment 0.0 μB per cell. Number 11: total moment 0.0 μB per cell. Number 12: total moment 0.0 μB per cell.